DFT (PBE) results for a relaxed RbHgO2F crystal.

The space group is P4/mmm (No. 123) and the conventional cell measures 4.414, 4.414 and 4.966 Å, with angles of 90.00, 90.00 and 90.00 degrees. The inequivalent atoms are Rb at (0.000, 0.000, 0.000), Hg at (0.500, 0.500, 0.500), O at (0.000, 0.500, 0.000) and F at (0.000, 0.000, 0.500).

The final energy is -11.345 eV per cell. As for the total magnetic moment: 0.28 μB/f.u.

=====

DFT (PBE) results for a relaxed SnWC2 crystal.

The space group is I-42d (No. 122) and the conventional cell measures 5.105, 5.105 and 9.612 Å, with angles of 90.00, 90.00 and 90.00 degrees. The inequivalent atoms are Sn at (0.000, 0.000, 0.000), W at (0.000, 0.000, 0.500) and C at (0.195, 0.250, 0.625).

The final energy is -127.650 eV per cell. As for the total magnetic moment: 0.00 μB/f.u.

=====

DFT (PBE) results for a relaxed Nb5In crystal.

The space group is Cmmm (No. 65) and the conventional cell measures 4.805, 9.935 and 4.753 Å, with angles of 90.00, 90.00 and 90.00 degrees. The inequivalent atoms are Nb at (0.000, 0.000, 0.000), Nb at (0.000, 0.171, 0.500), Nb at (0.000, 0.323, 0.000) and In at (0.000, 0.500, 0.500).

The final energy is -105.584 eV per cell. As for the total magnetic moment: 0.00 μB/f.u.